Below is crystalline Na2In2GeS6 at its relaxed geometry, with properties calculated at the PBEsol level.

a = 7.208 Å, b = 7.208 Å, c = 12.258 Å
α = 106.06°, β = 106.06°, γ = 66.50°
Positions (direct):
1 Na 0.073 0.927 0.500
2 Na 0.079 0.481 0.828
3 Na 0.481 0.079 0.328
4 Na 0.927 0.073 0.000
5 In 0.377 0.543 0.187
6 In 0.543 0.377 0.687
7 In 0.584 0.707 0.993
8 In 0.707 0.584 0.493
9 Ge 0.486 0.928 0.747
10 Ge 0.928 0.486 0.247
11 S 0.032 0.532 0.436
12 S 0.198 0.295 0.161
13 S 0.257 0.705 0.018
14 S 0.288 0.736 0.696
15 S 0.295 0.198 0.661
16 S 0.388 0.778 0.375
17 S 0.532 0.032 0.936
18 S 0.705 0.257 0.518
19 S 0.736 0.288 0.196
20 S 0.778 0.388 0.875
21 S 0.786 0.788 0.691
22 S 0.788 0.786 0.191

Calculated values
Space group: Cc, No. 9
Formation energy without anion corrections in eV/atom: -0.75

=====

Below is crystalline NbIn3Ge at its relaxed geometry, with properties calculated at the PBEsol level.

a = 5.128 Å, b = 5.128 Å, c = 5.128 Å
α = 90.00°, β = 90.00°, γ = 90.00°
Positions (direct):
1 Nb 0.000 0.000 0.000
2 In 0.000 0.500 0.500
3 In 0.500 0.000 0.500
4 In 0.500 0.500 0.000
5 Ge 0.500 0.500 0.500

Calculated values
Space group: Pm-3m, No. 221
Formation energy in eV/atom: 1.10

=====

Below is crystalline SrNbIn2Ge at its relaxed geometry, with properties calculated at the PBEsol level.

a = 5.694 Å, b = 5.694 Å, c = 4.983 Å
α = 90.00°, β = 90.00°, γ = 90.00°
Positions (direct):
1 Sr 0.000 0.000 0.000
2 Nb 0.000 0.000 0.500
3 In 0.000 0.500 0.000
4 In 0.500 0.000 0.000
5 Ge 0.500 0.500 0.500

Calculated values
Space group: P4/mmm, No. 123
Formation energy in eV/atom: 1.80

=====

What did the first record say?
Below is crystalline Na2In2GeS6 at its relaxed geometry, with properties calculated at the PBEsol level.

a = 7.208 Å, b = 7.208 Å, c = 12.258 Å
α = 106.06°, β = 106.06°, γ = 66.50°
Positions (direct):
1 Na 0.073 0.927 0.500
2 Na 0.079 0.481 0.828
3 Na 0.481 0.079 0.328
4 Na 0.927 0.073 0.000
5 In 0.377 0.543 0.187
6 In 0.543 0.377 0.687
7 In 0.584 0.707 0.993
8 In 0.707 0.584 0.493
9 Ge 0.486 0.928 0.747
10 Ge 0.928 0.486 0.247
11 S 0.032 0.532 0.436
12 S 0.198 0.295 0.161
13 S 0.257 0.705 0.018
14 S 0.288 0.736 0.696
15 S 0.295 0.198 0.661
16 S 0.388 0.778 0.375
17 S 0.532 0.032 0.936
18 S 0.705 0.257 0.518
19 S 0.736 0.288 0.196
20 S 0.778 0.388 0.875
21 S 0.786 0.788 0.691
22 S 0.788 0.786 0.191

Calculated values
Space group: Cc, No. 9
Formation energy without anion corrections in eV/atom: -0.75